1.
## Pm2Au (PBE)

Data for an optimized crystal structure of Pm2Au.

V: 28.532 Å³/atom
energy relative to the elements: -164.3 kJ/mol of formula units
M_tot: 0.000 μB/f.u.
space group: No. 62
ρ: 9.4 g cm⁻³
crystal system: orthorhombic

Unit cell a=5.098 b=7.269 c=9.239 alpha=90.00 beta=90.00 gamma=90.00
Fractional coordinates of all 12 atoms:
Au (0.250, 0.741, 0.596)
Au (0.750, 0.759, 0.096)
Pm (0.250, 0.152, 0.585)
Pm (0.250, 0.652, 0.915)
Pm (0.750, 0.848, 0.415)
Pm (0.750, 0.348, 0.085)
Pm (0.750, 0.992, 0.824)
Au (0.750, 0.259, 0.404)
Au (0.250, 0.241, 0.904)
Pm (0.250, 0.508, 0.324)
Pm (0.250, 0.008, 0.176)
Pm (0.750, 0.492, 0.676)

=====

2.
## Li2PrHg6 (PBE)

Data for an optimized crystal structure of Li2PrHg6.

V: 27.156 Å³/atom
energy relative to the elements: -151.5 kJ/mol of formula units
M_tot: 0.000 μB/f.u.
space group: No. 191
ρ: 9.2 g cm⁻³
crystal system: hexagonal

Unit cell a=6.105 b=6.105 c=7.572 alpha=90.00 beta=90.00 gamma=120.00
Fractional coordinates of all 9 atoms:
Li (0.667, 0.333, 0.500)
Hg (0.000, 0.500, 0.204)
Hg (0.500, 0.000, 0.796)
Pr (0.000, 0.000, 0.000)
Li (0.333, 0.667, 0.500)
Hg (0.500, 0.000, 0.204)
Hg (0.500, 0.500, 0.796)
Hg (0.000, 0.500, 0.796)
Hg (0.500, 0.500, 0.204)

=====

Repeat the second record exactly.
## Li2PrHg6 (PBE)

Data for an optimized crystal structure of Li2PrHg6.

V: 27.156 Å³/atom
energy relative to the elements: -151.5 kJ/mol of formula units
M_tot: 0.000 μB/f.u.
space group: No. 191
ρ: 9.2 g cm⁻³
crystal system: hexagonal

Unit cell a=6.105 b=6.105 c=7.572 alpha=90.00 beta=90.00 gamma=120.00
Fractional coordinates of all 9 atoms:
Li (0.667, 0.333, 0.500)
Hg (0.000, 0.500, 0.204)
Hg (0.500, 0.000, 0.796)
Pr (0.000, 0.000, 0.000)
Li (0.333, 0.667, 0.500)
Hg (0.500, 0.000, 0.204)
Hg (0.500, 0.500, 0.796)
Hg (0.000, 0.500, 0.796)
Hg (0.500, 0.500, 0.204)

=====

What did the first record say?
## Pm2Au (PBE)

Data for an optimized crystal structure of Pm2Au.

V: 28.532 Å³/atom
energy relative to the elements: -164.3 kJ/mol of formula units
M_tot: 0.000 μB/f.u.
space group: No. 62
ρ: 9.4 g cm⁻³
crystal system: orthorhombic

Unit cell a=5.098 b=7.269 c=9.239 alpha=90.00 beta=90.00 gamma=90.00
Fractional coordinates of all 12 atoms:
Au (0.250, 0.741, 0.596)
Au (0.750, 0.759, 0.096)
Pm (0.250, 0.152, 0.585)
Pm (0.250, 0.652, 0.915)
Pm (0.750, 0.848, 0.415)
Pm (0.750, 0.348, 0.085)
Pm (0.750, 0.992, 0.824)
Au (0.750, 0.259, 0.404)
Au (0.250, 0.241, 0.904)
Pm (0.250, 0.508, 0.324)
Pm (0.250, 0.008, 0.176)
Pm (0.750, 0.492, 0.676)